Entry 1:
Here is crystalline MnGa2S at its relaxed geometry from Alexandria via LeMat-Bulk. Energies are from GGA-PBE.

The space group is Amm2 (No. 38) and the conventional cell measures 2.792, 4.155 and 10.823 Å, with angles of 90.00, 90.00 and 90.00 degrees. The asymmetric unit holds Mn at (0.000, 0.000, 0.000), Ga at (0.500, 0.000, 0.201), Ga at (0.500, 0.000, 0.522) and S at (0.500, 0.000, 0.842).

The value obtained for the energy relative to the elements, uncorrected is -4.2 kcal/mol of atoms. The energy above the lowest structure with this stoichiometry is 4.8 kJ/mol of formula units. The value obtained for the size of the total moment is 0.0 μB/f.u. The total energy is -40.17 eV for the cell shown.

***

Entry 2:
Here is crystalline MnGa2S4 at its relaxed geometry from Alexandria via LeMat-Bulk. Energies are from GGA-PBE.

The space group is P-42m (No. 111) and the conventional cell measures 5.229, 5.229 and 5.629 Å, with angles of 90.00, 90.00 and 90.00 degrees. The asymmetric unit holds Mn at (0.000, 0.000, 0.000), Ga at (0.000, 0.500, 0.500) and S at (0.262, 0.262, 0.253).

The value obtained for the energy relative to the elements, uncorrected is -15.1 kcal/mol of atoms. The value obtained for the size of the total moment is 5.0 μB/f.u. The total energy is -36.32 eV for the cell shown.

***

Entry 3:
Here is crystalline Mn2GaS at its relaxed geometry from Alexandria via LeMat-Bulk. Energies are from GGA-PBE.

The space group is P3m1 (No. 156) and the conventional cell measures 3.7835, 3.7835 and 5.0671 Å, with angles of 90.00, 90.00 and 120.00 degrees. The asymmetric unit holds Mn at (0.0000, 0.0000, 0.0000), Mn at (0.3333, 0.6667, 0.1679), Ga at (0.0000, 0.0000, 0.4954) and S at (0.6667, 0.3333, 0.9061).

The value obtained for the energy relative to the elements, uncorrected is 0.2 kcal/mol of atoms. The energy above the lowest structure with this stoichiometry is 100.0 kJ/mol of formula units. The value obtained for the size of the total moment is 1.6 μB/f.u. The total energy is -25.45 eV for the cell shown.

***

Entry 4:
Here is crystalline Mn2GaS4 at its relaxed geometry from Alexandria via LeMat-Bulk. Energies are from GGA-PBE.

The space group is I4/mmm (No. 139) and the conventional cell measures 4.795, 4.795 and 12.340 Å, with angles of 90.00, 90.00 and 90.00 degrees. The asymmetric unit holds Mn at (0.000, 0.000, 0.115), Ga at (0.000, 0.000, 0.500), S at (0.000, 0.000, 0.292) and S at (0.000, 0.500, 0.000).

The value obtained for the energy relative to the elements, uncorrected is 0.7 kcal/mol of atoms. The energy above the lowest structure with this stoichiometry is 410.8 kJ/mol of formula units. The value obtained for the size of the total moment is 8.5 μB/f.u. The total energy is -75.35 eV for the cell shown.

***

Entry 5:
Here is crystalline Mn2GaS at its relaxed geometry from Alexandria via LeMat-Bulk. Energies are from GGA-PBE.

The space group is Cm (No. 8) and the conventional cell measures 8.831, 2.949 and 5.498 Å, with angles of 90.00, 128.42 and 90.00 degrees. The asymmetric unit holds Mn at (0.000, 0.000, 0.000), Mn at (0.082, 0.500, 0.583), Ga at (0.291, 0.500, 0.161) and S at (0.290, 0.000, 0.605).

The value obtained for the energy relative to the elements, uncorrected is -1.2 kcal/mol of atoms. The energy above the lowest structure with this stoichiometry is 76.5 kJ/mol of formula units. The value obtained for the size of the total moment is 5.1 μB/f.u. The total energy is -51.39 eV for the cell shown.

***

Entry 6:
Here is crystalline MnGa2S4 at its relaxed geometry from Alexandria via LeMat-Bulk. Energies are from GGA-PBE.

The space group is Pm (No. 6) and the conventional cell measures 6.223, 3.711 and 6.782 Å, with angles of 90.00, 90.37 and 90.00 degrees. The asymmetric unit holds Mn at (0.000, 0.000, 0.000), Ga at (0.530, 0.500, 0.794), Ga at (0.979, 0.500, 0.483), S at (0.135, 0.000, 0.331), S at (0.141, 0.500, 0.805), S at (0.615, 0.000, 0.989) and S at (0.621, 0.500, 0.480).

The value obtained for the energy relative to the elements, uncorrected is -14.1 kcal/mol of atoms. The value obtained for the size of the total moment is 5.0 μB/f.u. The total energy is -36.00 eV for the cell shown.

***

Entry 7:
Here is crystalline Mn2GaS at its relaxed geometry from Alexandria via LeMat-Bulk. Energies are from GGA-PBE.

The space group is Pm (No. 6) and the conventional cell measures 3.222, 3.245 and 5.627 Å, with angles of 90.00, 106.26 and 90.00 degrees. The asymmetric unit holds Mn at (0.000, 0.000, 0.000), Mn at (0.278, 0.000, 0.548), Ga at (0.606, 0.500, 0.217) and S at (0.853, 0.500, 0.700).

The value obtained for the energy relative to the elements, uncorrected is -2.8 kcal/mol of atoms. The energy above the lowest structure with this stoichiometry is 49.1 kJ/mol of formula units. The value obtained for the size of the total moment is 0.9 μB/f.u. The total energy is -25.98 eV for the cell shown.

***

Entry 8:
Here is crystalline MnGa2S at its relaxed geometry from Alexandria via LeMat-Bulk. Energies are from GGA-PBE.

The space group is Cm (No. 8) and the conventional cell measures 7.632, 3.357 and 5.423 Å, with angles of 90.00, 90.48 and 90.00 degrees. The asymmetric unit holds Mn at (0.000, 0.000, 0.000), Ga at (0.191, 0.500, 0.277), Ga at (0.479, 0.500, 0.529) and S at (0.299, 0.000, 0.921).

The value obtained for the energy relative to the elements, uncorrected is -2.5 kcal/mol of atoms. The energy above the lowest structure with this stoichiometry is 33.5 kJ/mol of formula units. The value obtained for the size of the total moment is 2.6 μB/f.u. The total energy is -39.57 eV for the cell shown.

***

Entry 9:
Here is crystalline MnGa2S at its relaxed geometry from Alexandria via LeMat-Bulk. Energies are from GGA-PBE.

The space group is I4mm (No. 107) and the conventional cell measures 3.437, 3.437 and 11.710 Å, with angles of 90.00, 90.00 and 90.00 degrees. The asymmetric unit holds Mn at (0.000, 0.000, 0.000), Ga at (0.000, 0.000, 0.465), Ga at (0.000, 0.000, 0.785) and S at (0.000, 0.000, 0.195).

The value obtained for the energy relative to the elements, uncorrected is -2.7 kcal/mol of atoms. The energy above the lowest structure with this stoichiometry is 30.6 kJ/mol of formula units. The value obtained for the size of the total moment is 2.5 μB/f.u. The total energy is -39.64 eV for the cell shown.

***

Entry 10:
Here is crystalline MnGa2S at its relaxed geometry from Alexandria via LeMat-Bulk. Energies are from GGA-PBE.

The space group is C2 (No. 5) and the conventional cell measures 8.389, 5.332 and 2.906 Å, with angles of 90.00, 110.15 and 90.00 degrees. The asymmetric unit holds Mn at (0.000, 0.000, 0.000), Ga at (0.188, 0.700, 0.686) and S at (0.000, 0.301, 0.500).

The value obtained for the energy relative to the elements, uncorrected is -4.5 kcal/mol of atoms. The energy above the lowest structure with this stoichiometry is 0.0 kJ/mol of formula units. The value obtained for the size of the total moment is 0.8 μB/f.u. The total energy is -40.27 eV for the cell shown.

***

Entry 11:
Here is crystalline ScMnGaS4 at its relaxed geometry from Alexandria via LeMat-Bulk. Energies are from GGA-PBE.

The space group is Pnma (No. 62) and the conventional cell measures 12.860, 7.406 and 6.108 Å, with angles of 90.00, 90.00 and 90.00 degrees. The asymmetric unit holds Sc at (0.233, 0.250, 0.004), Mn at (0.000, 0.000, 0.500), Ga at (0.088, 0.750, 0.925), S at (0.071, 0.250, 0.247), S at (0.090, 0.750, 0.293) and S at (0.168, 0.510, 0.750).

The value obtained for the energy relative to the elements, uncorrected is -24.7 kcal/mol of atoms. The value obtained for the size of the total moment is 5.0 μB/f.u. The total energy is -170.20 eV for the cell shown.

***

Entry 12:
Here is crystalline Sm3MnGaS7 at its relaxed geometry from Alexandria via LeMat-Bulk. Energies are from GGA-PBE.

The space group is P6_3 (No. 173) and the conventional cell measures 9.8711, 9.8711 and 6.2170 Å, with angles of 90.00, 90.00 and 120.00 degrees. The asymmetric unit holds Sm at (0.1520, 0.3778, 0.0000), Mn at (0.0000, 0.0000, 0.3041), Ga at (0.3333, 0.6667, 0.4229), S at (0.0916, 0.5719, 0.2679), S at (0.1010, 0.2406, 0.5800) and S at (0.3333, 0.6667, 0.7878).

The value obtained for the energy relative to the elements, uncorrected is -35.5 kcal/mol of atoms. The value obtained for the size of the total moment is 5.0 μB/f.u. The total energy is -147.44 eV for the cell shown.

***

Entry 13:
Here is crystalline MnGa2TeS6 at its relaxed geometry from Alexandria via LeMat-Bulk. Energies are from GGA-PBE.

The space group is C2/c (No. 15) and the conventional cell measures 12.319, 10.463 and 6.529 Å, with angles of 90.00, 104.17 and 90.00 degrees. The asymmetric unit holds Mn at (0.000, 0.085, 0.250), Ga at (0.210, 0.400, 0.270), Te at (0.000, 0.280, 0.750), S at (0.092, 0.084, 0.606), S at (0.127, 0.211, 0.126) and S at (0.139, 0.433, 0.554).

The value obtained for the energy relative to the elements, uncorrected is -7.0 kcal/mol of atoms. The value obtained for the size of the total moment is 1.0 μB/f.u. The total energy is -184.72 eV for the cell shown.

***

Entry 14:
Here is crystalline MnTl2GaS at its relaxed geometry from Alexandria via LeMat-Bulk. Energies are from GGA-PBE.

The space group is P4/mmm (No. 123) and the conventional cell measures 5.883, 5.883 and 4.130 Å, with angles of 90.00, 90.00 and 90.00 degrees. The asymmetric unit holds Mn at (0.000, 0.000, 0.000), Tl at (0.000, 0.500, 0.500), Ga at (0.500, 0.500, 0.000) and S at (0.000, 0.000, 0.500).

The value obtained for the energy relative to the elements, uncorrected is 7.4 kcal/mol of atoms. The value obtained for the size of the total moment is 3.3 μB/f.u. The total energy is -19.46 eV for the cell shown.

***

Entry 15:
Here is crystalline MnTl2GaS4 at its relaxed geometry from Alexandria via LeMat-Bulk. Energies are from GGA-PBE.

The space group is Imma (No. 74) and the conventional cell measures 7.759, 7.936 and 11.062 Å, with angles of 90.00, 90.00 and 90.00 degrees. The asymmetric unit holds Mn at (0.000, 0.000, 0.000), Tl at (0.000, 0.000, 0.500), Tl at (0.250, 0.250, 0.250), Ga at (0.250, 0.250, 0.750), S at (0.000, 0.039, 0.768) and S at (0.215, 0.250, 0.979).

The value obtained for the energy relative to the elements, uncorrected is -8.6 kcal/mol of atoms. The value obtained for the size of the total moment is 4.2 μB/f.u. The total energy is -145.68 eV for the cell shown.

***

Entry 16:
Here is crystalline Mn2GaSb2 at its relaxed geometry from Alexandria via LeMat-Bulk. Energies are from GGA-PBE.

The space group is P4/mbm (No. 127) and the conventional cell measures 7.096, 7.096 and 3.803 Å, with angles of 90.00, 90.00 and 90.00 degrees. The asymmetric unit holds Mn at (0.135, 0.365, 0.000), Ga at (0.000, 0.000, 0.000) and Sb at (0.165, 0.665, 0.500).

The value obtained for the energy relative to the elements, uncorrected is 3.3 kcal/mol of atoms. The value obtained for the size of the total moment is 6.2 μB/f.u. The total energy is -57.79 eV for the cell shown.

***

Entry 17:
Here is crystalline MnGaSb at its relaxed geometry from Alexandria via LeMat-Bulk. Energies are from GGA-PBE.

The space group is C2/m (No. 12) and the conventional cell measures 11.275, 3.226 and 6.514 Å, with angles of 90.00, 111.01 and 90.00 degrees. The asymmetric unit holds Mn at (0.120, 0.000, 0.480), Ga at (0.171, 0.500, 0.217) and Sb at (0.080, 0.500, 0.766).

The value obtained for the energy relative to the elements, uncorrected is 2.3 kcal/mol of atoms. The energy above the lowest structure with this stoichiometry is 4.3 kJ/mol of formula units. The value obtained for the size of the total moment is 1.5 μB/f.u. The total energy is -64.08 eV for the cell shown.

***

Entry 18:
Here is crystalline MnGaSb2 at its relaxed geometry from Alexandria via LeMat-Bulk. Energies are from GGA-PBE.

The space group is I-42d (No. 122) and the conventional cell measures 5.963, 5.963 and 12.348 Å, with angles of 90.00, 90.00 and 90.00 degrees. The asymmetric unit holds Mn at (0.000, 0.000, 0.000), Ga at (0.000, 0.000, 0.500) and Sb at (0.209, 0.250, 0.125).

The value obtained for the energy relative to the elements, uncorrected is 9.8 kcal/mol of atoms. The value obtained for the size of the total moment is 0.0 μB/f.u. The total energy is -74.98 eV for the cell shown.

***

Entry 19:
Here is crystalline Mn2GaSb at its relaxed geometry from Alexandria via LeMat-Bulk. Energies are from GGA-PBE.

The space group is Fm-3m (No. 225) and the conventional cell measures 6.110, 6.110 and 6.110 Å, with angles of 90.00, 90.00 and 90.00 degrees. The asymmetric unit holds Mn at (0.250, 0.250, 0.250), Ga at (0.000, 0.000, 0.000) and Sb at (0.000, 0.000, 0.500).

The value obtained for the energy relative to the elements, uncorrected is 5.7 kcal/mol of atoms. The value obtained for the size of the total moment is 1.9 μB/f.u. The total energy is -98.00 eV for the cell shown.

***

Entry 20:
Here is crystalline MnGa3Sb at its relaxed geometry from Alexandria via LeMat-Bulk. Energies are from GGA-PBE.

The space group is Pm-3m (No. 221) and the conventional cell measures 4.831, 4.831 and 4.831 Å, with angles of 90.00, 90.00 and 90.00 degrees. The asymmetric unit holds Mn at (0.000, 0.000, 0.000), Ga at (0.000, 0.000, 0.500) and Sb at (0.500, 0.500, 0.500).

The value obtained for the energy relative to the elements, uncorrected is 6.3 kcal/mol of atoms. The value obtained for the size of the total moment is 2.9 μB/f.u. The total energy is -21.01 eV for the cell shown.